Record 1
Material: CeEuLuCd
Method: DFT, PBE
State: optimized geometry

Unit cell a=5.5369 b=5.5369 c=5.5369 alpha=60.00 beta=60.00 gamma=60.00
Closest atoms and distances in Å follow each position.
Atoms (fractional coordinates):
1 Cd 0.7500 0.7500 0.7500  4 Ce 3.39, 4 Eu 3.39
2 Eu 0.5000 0.5000 0.5000  4 Lu 3.39, 4 Cd 3.39
3 Ce 0.0000 0.0000 0.0000  4 Cd 3.39, 4 Lu 3.39
4 Lu 0.2500 0.2500 0.2500  4 Ce 3.39, 4 Eu 3.39

Summary:
- formation energy (eV per atom) = 0.060
- space group = F-43m, No. 216

Record 2
Material: CeEuMgCd
Method: DFT, PBE
State: optimized geometry

Unit cell a=5.5163 b=5.5163 c=5.5163 alpha=60.00 beta=60.00 gamma=60.00
Closest atoms and distances in Å follow each position.
Atoms (fractional coordinates):
1 Mg 0.2500 0.2500 0.2500  4 Ce 3.38, 4 Eu 3.38
2 Eu 0.5000 0.5000 0.5000  4 Cd 3.38, 4 Mg 3.38
3 Cd 0.7500 0.7500 0.7500  4 Ce 3.38, 4 Eu 3.38
4 Ce 0.0000 0.0000 0.0000  4 Cd 3.38, 4 Mg 3.38

Summary:
- formation energy (eV per atom) = -0.086
- space group = F-43m, No. 216

Record 3
Material: CeEuCdPt
Method: DFT, PBE
State: optimized geometry

Unit cell a=5.2417 b=5.2417 c=5.2417 alpha=60.00 beta=60.00 gamma=60.00
Closest atoms and distances in Å follow each position.
Atoms (fractional coordinates):
1 Cd 0.2500 0.2500 0.2500  4 Ce 3.21, 4 Eu 3.21
2 Eu 0.0000 0.0000 0.0000  4 Cd 3.21, 4 Pt 3.21
3 Ce 0.5000 0.5000 0.5000  4 Pt 3.21, 4 Cd 3.21
4 Pt 0.7500 0.7500 0.7500  4 Eu 3.21, 4 Ce 3.21

Summary:
- formation energy (eV per atom) = -0.533
- space group = F-43m, No. 216

Record 4
Material: CeEuCdRh
Method: DFT, PBE
State: optimized geometry

Unit cell a=5.1869 b=5.1869 c=5.1869 alpha=60.00 beta=60.00 gamma=60.00
Closest atoms and distances in Å follow each position.
Atoms (fractional coordinates):
1 Eu 0.5000 0.5000 0.5000  4 Rh 3.18, 4 Cd 3.18
2 Rh 0.2500 0.2500 0.2500  4 Ce 3.18, 4 Eu 3.18
3 Ce 0.0000 0.0000 0.0000  4 Cd 3.18, 4 Rh 3.18
4 Cd 0.7500 0.7500 0.7500  4 Eu 3.18, 4 Ce 3.18

Summary:
- formation energy (eV per atom) = -0.296
- space group = F-43m, No. 216

Record 5
Material: CeEuCdSb
Method: DFT, PBE
State: optimized geometry

Unit cell a=5.4738 b=5.4738 c=5.4738 alpha=60.00 beta=60.00 gamma=60.00
Closest atoms and distances in Å follow each position.
Atoms (fractional coordinates):
1 Ce 0.0000 0.0000 0.0000  4 Cd 3.35, 4 Sb 3.35
2 Eu 0.5000 0.5000 0.5000  4 Sb 3.35, 4 Cd 3.35
3 Cd 0.7500 0.7500 0.7500  4 Eu 3.35, 4 Ce 3.35
4 Sb 0.2500 0.2500 0.2500  4 Ce 3.35, 4 Eu 3.35

Summary:
- formation energy (no corrections) (meV/atom) = -528
- space group = F-43m, No. 216

Record 6
Material: CeEuScCd
Method: DFT, PBE
State: optimized geometry

Unit cell a=5.4728 b=5.4728 c=5.4728 alpha=60.00 beta=60.00 gamma=60.00
Closest atoms and distances in Å follow each position.
Atoms (fractional coordinates):
1 Eu 0.0000 0.0000 0.0000  4 Cd 3.35, 4 Sc 3.35
2 Cd 0.7500 0.7500 0.7500  4 Ce 3.35, 4 Eu 3.35
3 Sc 0.2500 0.2500 0.2500  4 Eu 3.35, 4 Ce 3.35
4 Ce 0.5000 0.5000 0.5000  4 Cd 3.35, 4 Sc 3.35

Summary:
- formation energy (eV per atom) = 0.083
- space group = F-43m, No. 216

Record 7
Material: CeEuCdSi
Method: DFT, PBE
State: optimized geometry

Unit cell a=5.2806 b=5.2806 c=5.2806 alpha=60.00 beta=60.00 gamma=60.00
Closest atoms and distances in Å follow each position.
Atoms (fractional coordinates):
1 Ce 0.5000 0.5000 0.5000  4 Cd 3.23, 4 Si 3.23
2 Eu 0.0000 0.0000 0.0000  4 Si 3.23, 4 Cd 3.23
3 Cd 0.2500 0.2500 0.2500  4 Eu 3.23, 4 Ce 3.23
4 Si 0.7500 0.7500 0.7500  4 Ce 3.23, 4 Eu 3.23

Summary:
- formation energy (no corrections) (meV/atom) = -290
- space group = F-43m, No. 216

Record 8
Material: CeEuCdSn
Method: DFT, PBE
State: optimized geometry

Unit cell a=5.4997 b=5.4997 c=5.4997 alpha=60.00 beta=60.00 gamma=60.00
Closest atoms and distances in Å follow each position.
Atoms (fractional coordinates):
1 Ce 0.0000 0.0000 0.0000  4 Sn 3.37, 4 Cd 3.37
2 Eu 0.5000 0.5000 0.5000  4 Cd 3.37, 4 Sn 3.37
3 Sn 0.2500 0.2500 0.2500  4 Ce 3.37, 4 Eu 3.37
4 Cd 0.7500 0.7500 0.7500  4 Eu 3.37, 4 Ce 3.37

Summary:
- formation energy (eV per atom) = -0.444
- space group = F-43m, No. 216

Number 1: calculated total energy -5.351 eV/atom. Number 2: calculated total energy -4.766 eV/atom. Number 3: calculated total energy -6.324 eV/atom. Number 4: calculated total energy -6.414 eV/atom. Number 5: calculated total energy -5.840 eV/atom. Number 6: calculated total energy -5.780 eV/atom. Number 7: calculated total energy -5.927 eV/atom. Number 8: calculated total energy -5.726 eV/atom.